## Te2BrCl (GGA-PBEsol)

Data for Te2BrCl after structural relaxation.

Cell: 4.075 4.075 8.799 Å, 76.61 76.61 60.00°
Element x y z (fractional)
Te (0.004, 0.004, 0.987)
Te (0.742, 0.742, 0.775)
Br (0.485, 0.485, 0.546)
Cl (0.269, 0.269, 0.192)

Relative energy among the computed polymorphs   0.012 eV per atom
Formation energy without anion corrections   -1.00 eV per formula unit

## Te2BrCl (GGA-PBEsol)

Data for Te2BrCl after structural relaxation.

Cell: 4.041 4.143 8.864 Å, 75.66 76.82 60.81°
Element x y z (fractional)
Te (0.950, 0.087, 0.012)
Te (0.230, 0.312, 0.229)
Br (0.556, 0.433, 0.456)
Cl (0.764, 0.668, 0.803)

Relative energy among the computed polymorphs   0.000 eV per atom
Formation energy without anion corrections   -1.05 eV per formula unit

## TiTeBr2Cl (GGA-PBEsol)

Data for TiTeBr2Cl after structural relaxation.

Cell: 5.409 5.409 5.442 Å, 90.00 90.00 90.00°
Each line ends with the local moment (μB).
Element x y z (fractional)
Cl (0.500, 0.500, 0.500)  -0.05
Te (0.000, 0.000, 0.000)  -0.06
Br (0.000, 0.500, 0.000)  0.02
Br (0.500, 0.000, 0.000)  0.02
Ti (0.000, 0.000, 0.500)  1.73

Formation energy without anion corrections   0.86 eV per formula unit

## TiBr3Cl (GGA-PBEsol)

Data for TiBr3Cl after structural relaxation.

Cell: 5.220 5.220 5.220 Å, 90.00 90.00 90.00°
Each line ends with the local moment (μB).
Element x y z (fractional)
Cl (0.000, 0.000, 0.000)  0.02
Br (0.000, 0.500, 0.000)  -0.01
Br (0.000, 0.000, 0.500)  -0.01
Br (0.500, 0.000, 0.000)  -0.01
Ti (0.500, 0.500, 0.500)  2.08

Formation energy without anion corrections   2.74 eV per formula unit

## TiBr2Cl (GGA-PBEsol)

Data for TiBr2Cl after structural relaxation.

Cell: 3.473 3.473 10.525 Å, 80.50 80.50 60.00°
Each line ends with the local moment (μB).
Element x y z (fractional)
Cl (0.500, 0.500, 0.500)  0.56
Br (0.926, 0.926, 0.222)  0.01
Br (0.074, 0.074, 0.778)  0.01
Ti (0.000, 0.000, 0.000)  -0.01

Formation energy without anion corrections   -0.20 eV per formula unit

## Ti2BrCl (GGA-PBEsol)

Data for Ti2BrCl after structural relaxation.

Cell: 4.436 4.436 4.436 Å, 60.00 60.00 60.00°
Each line ends with the local moment (μB).
Element x y z (fractional)
Cl (0.000, 0.000, 0.000)  -0.02
Br (0.500, 0.500, 0.500)  0.01
Ti (0.250, 0.250, 0.250)  0.67
Ti (0.750, 0.750, 0.750)  0.67

Formation energy without anion corrections   -0.99 eV per formula unit

## Tl2BrCl (GGA-PBEsol)

Data for Tl2BrCl after structural relaxation.

Cell: 3.836 5.411 5.411 Å, 90.01 89.90 89.90°
Element x y z (fractional)
Tl (0.000, 0.500, 0.000)
Tl (0.000, 0.000, 0.500)
Br (0.500, 0.500, 0.500)
Cl (0.500, 0.000, 0.000)

Relative energy among the computed polymorphs   0.007 eV per atom
Formation energy without anion corrections   -3.33 eV per formula unit

## Tl2BrCl (GGA-PBEsol)

Data for Tl2BrCl after structural relaxation.

Cell: 3.826 3.826 7.644 Å, 90.00 90.14 90.00°
Element x y z (fractional)
Tl (0.000, 0.000, 0.740)
Tl (0.000, 0.000, 0.260)
Br (0.500, 0.500, 0.000)
Cl (0.500, 0.500, 0.500)

Relative energy among the computed polymorphs   0.002 eV per atom
Formation energy without anion corrections   -3.35 eV per formula unit